1.
Compound: Rb3Ac3VSe8
Source: the Alexandria database
Functional: PBE
Structure: relaxed

## Properties
crystal system	trigonal
volume	551	Å³ per cell
size of the total moment	1.00	Bohr magnetons per cell
D(E_F)	6.415	states/eV/cell
formation energy from raw total energies	-1.464	eV/atom
symmetry	No. 166

Lattice parameters (Å, degrees): 8.8109 8.8108 9.6408 117.20 90.00 120.00
Each line ends with the local moment (μB).
Element x y z (fractional)
Rb 0.0000 0.0000 0.0000  0.00
Ac 0.5000 0.5000 0.5000  0.00
Se 0.2239 0.0205 0.3172  -0.04
Se 0.2034 0.9795 0.6828  -0.04
V 0.0000 0.0000 0.5000  1.25
Rb 0.5000 0.5000 0.0000  0.00
Rb 0.0000 0.5000 0.0000  0.00
Se 0.2034 0.4068 0.6828  -0.04
Se 0.7966 0.5932 0.3172  -0.04
Ac 0.5000 0.0000 0.5000  0.00
Se 0.7761 0.9795 0.6828  -0.04
Se 0.7966 0.0205 0.3172  -0.04
Se 0.2622 0.5245 0.2868  0.00
Ac 0.0000 0.5000 0.5000  0.00
Se 0.7378 0.4755 0.7132  0.00


2.
Compound: Zr2TaReOs
Source: the Alexandria database
Functional: PBE
Structure: relaxed

## Properties
ΔH_f (0 K)	1.153	eV/atom
crystal system	tetragonal
volume	116	Å³ per cell
size of the total moment	0.00	Bohr magnetons per cell
D(E_F)	7.200	states/eV/cell
symmetry	No. 123

Lattice parameters (Å, degrees): 4.9571 4.7014 4.9571 90.00 90.00 90.00
Element x y z (fractional)
Zr 0.0000 0.0000 0.5000
Re 0.0000 0.5000 0.0000
Os 0.0000 0.0000 0.0000
Zr 0.5000 0.0000 0.0000
Ta 0.5000 0.5000 0.5000


3.
Compound: CuP2O2
Source: the Alexandria database
Functional: PBE
Structure: relaxed

## Properties
crystal system	tetragonal
volume	57	Å³ per cell
size of the total moment	0.00	Bohr magnetons per cell
D(E_F)	1.751	states/eV/cell
formation energy from raw total energies	0.097	eV/atom
symmetry	No. 139
relative energy among the computed polymorphs	0.637	eV/atom

Lattice parameters (Å, degrees): 3.3138 3.3138 5.6948 73.09 73.09 90.00
Element x y z (fractional)
O 0.2500 0.7500 0.5000
Cu 0.0000 0.0000 0.0000
P 0.3596 0.3596 0.2807
P 0.6404 0.6404 0.7193
O 0.7500 0.2500 0.5000


4.
Compound: AcThSb
Source: the Alexandria database
Functional: PBE
Structure: relaxed

## Properties
crystal system	tetragonal
volume	104	Å³ per cell
size of the total moment	0.00	Bohr magnetons per cell
D(E_F)	2.557	states/eV/cell
formation energy from raw total energies	-0.492	eV/atom
symmetry	No. 107
relative energy among the computed polymorphs	0.000	eV/atom

Lattice parameters (Å, degrees): 4.1683 4.1683 6.6587 108.24 108.24 90.00
Element x y z (fractional)
Th 0.6464 0.6464 0.2927
Sb 0.2661 0.2661 0.5322
Ac 0.9375 0.9375 0.8751


5.
Compound: Y5Al2Cd
Source: the Alexandria database
Functional: PBE
Structure: relaxed

## Properties
ΔH_f (0 K)	-0.300	eV/atom
crystal system	tetragonal
volume	445	Å³ per cell
size of the total moment	0.00	Bohr magnetons per cell
D(E_F)	16.086	states/eV/cell
symmetry	No. 140

Lattice parameters (Å, degrees): 7.7575 7.7575 9.2112 114.90 114.90 90.00
Element x y z (fractional)
Y 0.3148 0.8148 0.2915
Al 0.3786 0.8786 0.0000
Y 0.5000 0.5000 0.0000
Y 0.1852 0.0233 0.7085
Cd 0.7500 0.7500 0.5000
Al 0.1214 0.3786 0.0000
Y 0.9767 0.4767 0.2915
Y 0.5233 0.6852 0.7085
Al 0.6214 0.1214 0.0000
Y 0.6852 0.1852 0.7085
Y 0.4767 0.3148 0.2915
Y 0.0233 0.5233 0.7085
Al 0.8786 0.6214 0.0000
Cd 0.2500 0.2500 0.5000
Y 0.8148 0.9767 0.2915
Y 0.0000 0.0000 0.0000


6.
Compound: Pr8Cu2Au
Source: the Alexandria database
Functional: PBE
Structure: relaxed

## Properties
ΔH_f (0 K)	-0.060	eV/atom
crystal system	monoclinic
volume	339	Å³ per cell
size of the total moment	0.00	Bohr magnetons per cell
D(E_F)	15.592	states/eV/cell
symmetry	No. 8
relative energy among the computed polymorphs	0.103	eV/atom

Lattice parameters (Å, degrees): 5.9292 8.1464 8.1464 114.69 99.78 99.78
Element x y z (fractional)
Pr 0.1788 0.3861 0.3861
Cu 0.4932 0.7006 0.3091
Pr 0.9868 0.2202 0.7744
Au 0.1251 0.0091 0.0091
Pr 0.5851 0.3424 0.0904
Pr 0.8040 0.6282 0.6282
Cu 0.4932 0.3091 0.7006
Pr 0.3807 0.6600 0.9133
Pr 0.9868 0.7744 0.2202
Pr 0.5851 0.0904 0.3424
Pr 0.3807 0.9133 0.6600


7.
Compound: ZrCrBr2
Source: the Alexandria database
Functional: PBE
Structure: relaxed

## Properties
crystal system	orthorhombic
volume	96	Å³ per cell
size of the total moment	5.00	Bohr magnetons per cell
D(E_F)	2.847	states/eV/cell
formation energy from raw total energies	0.025	eV/atom
symmetry	No. 65
relative energy among the computed polymorphs	0.419	eV/atom

Lattice parameters (Å, degrees): 3.5554 3.5554 9.1680 90.00 90.00 124.50
Each line ends with the local moment (μB).
Element x y z (fractional)
Br 0.0000 0.0000 0.9956  0.01
Cr 0.5000 0.5000 0.2500  4.11
Zr 0.5000 0.5000 0.7500  0.15
Br 0.0000 0.0000 0.5044  0.01


8.
Compound: ReTc2Sb
Source: the Alexandria database
Functional: PBE
Structure: relaxed

## Properties
crystal system	tetragonal
volume	64	Å³ per cell
size of the total moment	0.00	Bohr magnetons per cell
D(E_F)	2.166	states/eV/cell
formation energy from raw total energies	0.305	eV/atom
symmetry	No. 99

Lattice parameters (Å, degrees): 3.0708 3.0708 6.8044 90.00 90.00 90.00
Element x y z (fractional)
Tc 0.0000 0.0000 0.0072
Sb 0.5000 0.5000 0.7548
Tc 0.5000 0.5000 0.2502
Re 0.0000 0.0000 0.4879


9.
Compound: Tm3Ga2Co
Source: the Alexandria database
Functional: PBE
Structure: relaxed

## Properties
ΔH_f (0 K)	-0.494	eV/atom
crystal system	orthorhombic
volume	523	Å³ per cell
size of the total moment	0.00	Bohr magnetons per cell
D(E_F)	26.290	states/eV/cell
symmetry	No. 62

Lattice parameters (Å, degrees): 4.1866 10.8365 11.5223 90.00 90.00 90.00
Element x y z (fractional)
Ga 0.2500 0.9993 0.3043
Tm 0.7500 0.9402 0.1172
Tm 0.7500 0.2000 0.2694
Co 0.2500 0.1232 0.1222
Ga 0.7500 0.1899 0.0140
Co 0.2500 0.3768 0.6222
Co 0.7500 0.6232 0.3778
Tm 0.2500 0.1272 0.5502
Ga 0.7500 0.4993 0.1957
Ga 0.2500 0.8101 0.9860
Tm 0.2500 0.8000 0.7306
Ga 0.2500 0.5007 0.8043
Ga 0.7500 0.3101 0.5140
Tm 0.2500 0.3728 0.0502
Tm 0.2500 0.4402 0.3828
Tm 0.7500 0.6272 0.9498
Tm 0.2500 0.7000 0.2306
Tm 0.7500 0.5598 0.6172
Tm 0.7500 0.3000 0.7694
Ga 0.7500 0.0007 0.6957
Ga 0.2500 0.6899 0.4860
Tm 0.2500 0.0598 0.8828
Co 0.7500 0.8768 0.8778
Tm 0.7500 0.8728 0.4498


10.
Compound: CsHgRhF2
Source: the Alexandria database
Functional: PBE
Structure: relaxed

## Properties
crystal system	tetragonal
volume	116	Å³ per cell
size of the total moment	0.82	Bohr magnetons per cell
D(E_F)	1.098	states/eV/cell
formation energy from raw total energies	-0.981	eV/atom
symmetry	No. 123

Lattice parameters (Å, degrees): 4.7091 5.2347 4.7091 90.00 90.00 90.00
Each line ends with the local moment (μB).
Element x y z (fractional)
Rh 0.0000 0.0000 0.0000  0.76
F 0.0000 0.0000 0.5000  0.02
F 0.5000 0.0000 0.0000  0.01
Cs 0.5000 0.5000 0.5000  0.00
Hg 0.0000 0.5000 0.0000  -0.01


11.
Compound: Ca2NdEr
Source: the Alexandria database
Functional: PBE
Structure: relaxed

## Properties
ΔH_f (0 K)	0.164	eV/atom
crystal system	tetragonal
volume	144	Å³ per cell
size of the total moment	0.00	Bohr magnetons per cell
D(E_F)	5.920	states/eV/cell
symmetry	No. 123
relative energy among the computed polymorphs	0.052	eV/atom

Lattice parameters (Å, degrees): 4.2106 5.8525 5.8525 90.00 90.00 90.00
Element x y z (fractional)
Nd 0.5000 0.0000 0.0000
Er 0.5000 0.5000 0.5000
Ca 0.0000 0.0000 0.5000
Ca 0.0000 0.5000 0.0000


12.
Compound: CaTb2Tl
Source: the Alexandria database
Functional: PBE
Structure: relaxed

## Properties
ΔH_f (0 K)	0.073	eV/atom
crystal system	trigonal
volume	134	Å³ per cell
size of the total moment	0.00	Bohr magnetons per cell
D(E_F)	5.503	states/eV/cell
symmetry	No. 166
relative energy among the computed polymorphs	0.221	eV/atom

Lattice parameters (Å, degrees): 3.6028 3.6028 12.1009 81.44 81.44 60.00
Element x y z (fractional)
Ca 0.0000 0.0000 0.0000
Tb 0.9037 0.9037 0.2890
Tb 0.0963 0.0963 0.7110
Tl 0.5000 0.5000 0.5000


13.
Compound: CSe2
Source: the Alexandria database
Functional: PBE
Structure: relaxed

## Properties
crystal system	cubic
volume	52	Å³ per cell
size of the total moment	0.00	Bohr magnetons per cell
D(E_F)	1.928	states/eV/cell
formation energy from raw total energies	1.917	eV/atom
symmetry	No. 225
relative energy among the computed polymorphs	1.356	eV/atom

Lattice parameters (Å, degrees): 4.1962 4.1962 4.1962 60.00 60.00 60.00
Element x y z (fractional)
Se 0.7500 0.7500 0.7500
Se 0.2500 0.2500 0.2500
C 0.0000 0.0000 0.0000


14.
Compound: Ac2Pm6Tl
Source: the Alexandria database
Functional: PBE
Structure: relaxed

## Properties
ΔH_f (0 K)	0.012	eV/atom
crystal system	orthorhombic
volume	325	Å³ per cell
size of the total moment	0.00	Bohr magnetons per cell
D(E_F)	12.153	states/eV/cell
symmetry	No. 71

Lattice parameters (Å, degrees): 3.7399 10.8837 9.8396 123.58 100.93 90.00
Element x y z (fractional)
Ac 0.8610 0.3603 0.7206
Pm 0.5000 0.7324 0.0000
Pm 0.1806 0.0230 0.3608
Pm 0.8194 0.9770 0.6392
Pm 0.5000 0.2676 0.0000
Pm 0.8194 0.6622 0.6392
Tl 0.0000 0.0000 0.0000
Ac 0.1390 0.6397 0.2794
Pm 0.1806 0.3378 0.3608


15.
Compound: TcAgI2O
Source: the Alexandria database
Functional: PBE
Structure: relaxed

## Properties
crystal system	tetragonal
volume	134	Å³ per cell
size of the total moment	5.25	Bohr magnetons per cell
D(E_F)	4.357	states/eV/cell
formation energy from raw total energies	0.867	eV/atom
symmetry	No. 123
relative energy among the computed polymorphs	1.042	eV/atom

Lattice parameters (Å, degrees): 5.8068 5.8068 3.9752 90.00 90.00 90.00
Each line ends with the local moment (μB).
Element x y z (fractional)
O 0.0000 0.0000 0.5000  0.42
Tc 0.5000 0.5000 0.5000  3.78
I 0.5000 0.0000 0.0000  0.10
Ag 0.0000 0.0000 0.0000  0.14
I 0.0000 0.5000 0.0000  0.10


16.
Compound: BeCr2Br
Source: the Alexandria database
Functional: PBE
Structure: relaxed

## Properties
crystal system	tetragonal
volume	54	Å³ per cell
size of the total moment	4.75	Bohr magnetons per cell
D(E_F)	3.547	states/eV/cell
formation energy from raw total energies	0.949	eV/atom
symmetry	No. 139
relative energy among the computed polymorphs	0.570	eV/atom

Lattice parameters (Å, degrees): 4.3882 4.3882 4.3882 125.37 125.37 80.92
Each line ends with the local moment (μB).
Element x y z (fractional)
Be 0.2500 0.7500 0.5000  -0.07
Br 0.7500 0.2500 0.5000  -0.04
Cr 0.0000 0.0000 0.0000  2.28
Cr 0.5000 0.5000 0.0000  2.28


17.
Compound: PmDyY2Er6
Source: the Alexandria database
Functional: PBE
Structure: relaxed

## Properties
ΔH_f (0 K)	0.127	eV/atom
crystal system	monoclinic
volume	638	Å³ per cell
size of the total moment	0.00	Bohr magnetons per cell
D(E_F)	30.134	states/eV/cell
symmetry	No. 15

Lattice parameters (Å, degrees): 9.4003 8.7592 8.7592 117.27 93.11 93.11
Element x y z (fractional)
Pm 0.2500 0.9703 0.0297
Er 0.5584 0.7542 0.1227
Er 0.9416 0.8773 0.2458
Y 0.0484 0.3032 0.1999
Er 0.6832 0.0166 0.5644
Er 0.4416 0.2458 0.8773
Er 0.3168 0.9834 0.4356
Dy 0.2500 0.4102 0.5898
Pm 0.7500 0.0297 0.9703
Er 0.1832 0.5644 0.0166
Er 0.0584 0.1227 0.7542
Dy 0.7500 0.5898 0.4102
Er 0.3843 0.5151 0.2908
Er 0.8168 0.4356 0.9834
Y 0.9516 0.6968 0.8001
Er 0.8843 0.2908 0.5151
Y 0.4516 0.8001 0.6968
Y 0.5484 0.1999 0.3032
Er 0.1157 0.7092 0.4849
Er 0.6157 0.4849 0.7092


18.
Compound: PuPaOs
Source: the Alexandria database
Functional: PBE
Structure: relaxed

## Properties
ΔH_f (0 K)	0.080	eV/atom
crystal system	orthorhombic
volume	246	Å³ per cell
size of the total moment	0.00	Bohr magnetons per cell
D(E_F)	21.982	states/eV/cell
symmetry	No. 62
relative energy among the computed polymorphs	0.240	eV/atom

Lattice parameters (Å, degrees): 3.2612 9.1787 8.2345 90.00 90.00 90.00
Element x y z (fractional)
Pa 0.7500 0.1105 0.3464
Os 0.2500 0.6457 0.8277
Pu 0.2500 0.0894 0.0182
Pu 0.2500 0.4106 0.5182
Pu 0.7500 0.9106 0.9818
Os 0.2500 0.8543 0.3277
Os 0.7500 0.3543 0.1723
Pu 0.7500 0.5894 0.4818
Pa 0.2500 0.8895 0.6536
Pa 0.2500 0.6105 0.1536
Os 0.7500 0.1457 0.6723
Pa 0.7500 0.3895 0.8464


19.
Compound: Cs2TaBiSe
Source: the Alexandria database
Functional: PBE
Structure: relaxed

## Properties
crystal system	tetragonal
volume	290	Å³ per cell
size of the total moment	2.71	Bohr magnetons per cell
D(E_F)	4.487	states/eV/cell
formation energy from raw total energies	0.711	eV/atom
symmetry	No. 123

Lattice parameters (Å, degrees): 7.3319 5.3983 7.3319 90.00 90.00 90.00
Each line ends with the local moment (μB).
Element x y z (fractional)
Se 0.5000 0.5000 0.5000  0.08
Ta 0.0000 0.5000 0.0000  1.72
Bi 0.0000 0.0000 0.0000  -0.16
Cs 0.0000 0.0000 0.5000  0.00
Cs 0.5000 0.0000 0.0000  0.00


20.
Compound: PuHfOsRh
Source: the Alexandria database
Functional: PBE
Structure: relaxed

## Properties
ΔH_f (0 K)	-0.408	eV/atom
crystal system	cubic
volume	74	Å³ per cell
size of the total moment	4.76	Bohr magnetons per cell
D(E_F)	6.498	states/eV/cell
symmetry	No. 216

Lattice parameters (Å, degrees): 4.7150 4.7150 4.7150 60.00 60.00 60.00
Each line ends with the local moment (μB).
Element x y z (fractional)
Pu 0.2500 0.2500 0.2500  4.87
Hf 0.7500 0.7500 0.7500  0.15
Rh 0.0000 0.0000 0.0000  -0.24
Os 0.5000 0.5000 0.5000  -0.28


21.
Compound: LaTbDy2Ho5
Source: the Alexandria database
Functional: PBE
Structure: relaxed

## Properties
ΔH_f (0 K)	0.283	eV/atom
crystal system	tetragonal
volume	588	Å³ per cell
size of the total moment	0.00	Bohr magnetons per cell
D(E_F)	23.244	states/eV/cell
symmetry	No. 140

Lattice parameters (Å, degrees): 8.9142 8.9142 9.7222 117.29 117.29 90.00
Element x y z (fractional)
Ho 0.3358 0.8358 0.2621
Dy 0.3868 0.8868 0.0000
Dy 0.1132 0.3868 0.0000
Ho 0.6642 0.1642 0.7379
Ho 0.1642 0.0737 0.7379
Ho 0.5737 0.6642 0.7379
Ho 0.4263 0.3358 0.2621
Ho 0.0000 0.0000 0.0000
Ho 0.5000 0.5000 0.0000
Ho 0.9263 0.4263 0.2621
Tb 0.7500 0.2500 0.5000
La 0.7500 0.7500 0.5000
Tb 0.2500 0.7500 0.5000
Ho 0.8358 0.9263 0.2621
Ho 0.0737 0.5737 0.7379
Dy 0.8868 0.6132 0.0000
La 0.2500 0.2500 0.5000
Dy 0.6132 0.1132 0.0000


22.
Compound: LaTb14Pr
Source: the Alexandria database
Functional: PBE
Structure: relaxed

## Properties
ΔH_f (0 K)	0.007	eV/atom
crystal system	orthorhombic
volume	520	Å³ per cell
size of the total moment	0.00	Bohr magnetons per cell
D(E_F)	17.628	states/eV/cell
symmetry	No. 38

Lattice parameters (Å, degrees): 7.1896 7.1896 11.6026 90.00 90.00 119.83
Element x y z (fractional)
Tb 0.5418 0.9571 0.0000
La 0.7077 0.2923 0.5000
Tb 0.0429 0.4582 0.0000
Tb 0.8748 0.6255 0.2456
Tb 0.3745 0.1252 0.7544
Tb 0.0418 0.9582 0.0000
Tb 0.8753 0.1247 0.2474
Tb 0.3753 0.6247 0.7515
Tb 0.3753 0.6247 0.2485
Pr 0.2080 0.7920 0.5000
Tb 0.3745 0.1252 0.2456
Tb 0.5415 0.4585 0.0000
Tb 0.8753 0.1247 0.7526
Tb 0.2079 0.2914 0.5000
Tb 0.8748 0.6255 0.7544
Tb 0.7086 0.7921 0.5000


23.
Compound: Si3Ni
Source: the Alexandria database
Functional: PBE
Structure: relaxed

## Properties
crystal system	hexagonal
volume	52	Å³ per cell
size of the total moment	0.00	Bohr magnetons per cell
D(E_F)	1.846	states/eV/cell
formation energy from raw total energies	0.167	eV/atom
symmetry	No. 187

Lattice parameters (Å, degrees): 2.7086 2.7086 8.2473 90.00 90.00 120.00
Element x y z (fractional)
Si 0.0000 0.0000 0.5000
Si 0.6667 0.3333 0.7739
Si 0.6667 0.3333 0.2261
Ni 0.0000 0.0000 0.0000